Density functional theory data (PBE) for LiMgHgSb after structural relaxation.

abc: 5.0090 5.0090 5.0090
angles: 60.00 60.00 60.00
With the nearest neighbours (Å) after each atom.
Fractional positions:
Mg (0.5000, 0.5000, 0.5000)  4 Sb 3.07, 4 Hg 3.07
Hg (0.7500, 0.7500, 0.7500)  4 Li 3.07, 4 Mg 3.07
Li (0.0000, 0.0000, 0.0000)  4 Hg 3.07, 4 Sb 3.07
Sb (0.2500, 0.2500, 0.2500)  4 Li 3.07, 4 Mg 3.07

Calculated values
Crystal system: cubic
SG: F-43m, No. 216
Energy relative to the elements, uncorrected: -367 meV/atom
Final energy: -2.350 eV per atom
Size of the total moment: 0.0 μB per formula unit